Entry 1:
# PmTmZnRh

An optimized crystal structure of PmTmZnRh (PBE, Alexandria via LeMat-Bulk).

Geometry as POSCAR:
```
PmTmZnRh
1.0
-0.441 3.141 -1.524
-2.820 -1.225 -1.710
-4.140 2.027 5.375
Pm Tm Zn Rh
1 1 1 1
Cartesian
-3.613 1.769 4.690
-1.414 0.692 1.836
-4.067 2.151 1.546
-2.149 1.212 -0.943
```

Computed properties:
- volume (Å³ per cell) = 87.7
- energy above the lowest structure with this stoichiometry (eV per formula unit) = 0.00

***

Entry 2:
# PmURh

An optimized crystal structure of PmURh (PBE, Alexandria via LeMat-Bulk).

Geometry as POSCAR:
```
PmURh
1.0
3.611 0.000 0.000
0.000 4.902 0.063
-1.806 -1.103 7.908
U Pm Rh
2 2 2
Cartesian
1.806 0.360 3.983
0.000 3.439 3.988
1.806 3.630 1.174
0.000 0.169 6.798
1.806 2.477 5.804
0.000 1.322 2.168
```

Computed properties:
- volume (Å³ per cell) = 140.2

***

no.,electronic total energy (eV per atom)
1,-5.04
2,-8.10